1.
Crystalline Ho3CuIr8 at its relaxed geometry. Source: Alexandria via LeMat-Bulk, functional PBE-GGA.

## Properties
energy of formation	-52.31	kJ per mole of atoms
space group	R3m, No. 160

a b c (Å): 9.180 9.180 9.180
angles (deg): 33.62 33.62 33.62
Fractional coordinates of all 12 atoms:
Ho 0.000 0.000 0.000
Ho 0.129 0.129 0.129
Ho 0.514 0.514 0.514
Cu 0.642 0.642 0.642
Ir 0.067 0.567 0.567
Ir 0.068 0.068 0.568
Ir 0.068 0.568 0.068
Ir 0.317 0.317 0.317
Ir 0.567 0.067 0.567
Ir 0.567 0.567 0.067
Ir 0.568 0.068 0.068
Ir 0.817 0.817 0.817

2.
Crystalline LiY2Ho at its relaxed geometry. Source: Alexandria via LeMat-Bulk, functional PBE-GGA.

## Properties
energy of formation	14.09	kJ per mole of atoms
offset from the most stable computed form	8.2	kJ/mol of atoms
space group	P4/mmm, No. 123

a b c (Å): 5.581 5.581 3.765
angles (deg): 90.00 90.00 90.00
Fractional coordinates of all 4 atoms:
Li 0.000 0.000 0.000
Y 0.000 0.500 0.500
Y 0.500 0.000 0.500
Ho 0.500 0.500 0.000

3.
Crystalline CoMoCl2 at its relaxed geometry. Source: Alexandria via LeMat-Bulk, functional PBE-GGA.

## Properties
offset from the most stable computed form	103.3	kJ/mol of atoms
E_form (uncorrected)	0.88	eV/atom
space group	F-43m, No. 216

a b c (Å): 4.533 4.533 4.533
angles (deg): 60.00 60.00 60.00
Fractional coordinates of all 4 atoms:
Co 0.000 0.000 0.000
Mo 0.750 0.750 0.750
Cl 0.250 0.250 0.250
Cl 0.500 0.500 0.500

Fermi-level density of states values (in states/eV per atom) by entry order: 1.07; 1.25; 1.42.